*one*
# KAg2Bi2

KAg2Bi2 after structural relaxation (PBE-GGA, Alexandria).

Summary:
Magnetic moment = 0.000 μB per atom

Cell lengths 5.2537, 5.2537, 11.1825 Å; angles 90.00, 90.00, 90.00 degrees
Last column: nearest neighbours and their distance in Å.
Space group I4/mmm (No. 139)
Symmetry-distinct sites (fractional):
K (0.0000, 0.0000, 0.0000) (multiplicity 2)  8 Bi 3.84, 10 Ag 3.98-4.15
Ag (0.0000, 0.0000, 0.3713) (multiplicity 4)  1 Ag 2.88, 4 Bi 2.96
Bi (0.0000, 0.5000, 0.2500) (multiplicity 4)  4 Ag 2.96

***

*two*
# KAg2Bi2

KAg2Bi2 after structural relaxation (PBE-GGA, Alexandria).

Summary:
Magnetic moment = 0.000 μB per atom

Cell lengths 6.9127, 7.2271, 6.8011 Å; angles 90.00, 116.70, 90.00 degrees
Last column: nearest neighbours and their distance in Å.
Space group C2/m (No. 12)
Symmetry-distinct sites (fractional):
K (0.0000, 0.0000, 0.0000) (multiplicity 2)  8 Bi 3.67-3.93, 4 Ag 3.71
Ag (0.0000, 0.2047, 0.5000) (multiplicity 4)  4 Bi 2.94-2.96, 1 Ag 2.96
Bi (0.0945, 0.5000, 0.2547) (multiplicity 4)  4 Ag 2.94-2.96, 1 Bi 3.10

***

Least stable = *one*

***

*one*
# La2Ag2Bi

La2Ag2Bi after structural relaxation (PBE-GGA, Alexandria).

Summary:
Magnetic moment = 0.000 μB per atom

Cell lengths 8.0671, 8.0671, 4.3601 Å; angles 90.00, 90.00, 90.00 degrees
Last column: nearest neighbours and their distance in Å.
Space group P4/mbm (No. 127)
Symmetry-distinct sites (fractional):
La (0.1751, 0.3249, 0.0000) (multiplicity 4)  6 Ag 3.18-3.27
Ag (0.1219, 0.6219, 0.5000) (multiplicity 4)  1 Ag 2.78
Bi (0.0000, 0.0000, 0.5000) (multiplicity 2)  4 Ag 3.20

***

*two*
# La2Ag2Bi

La2Ag2Bi after structural relaxation (PBE-GGA, Alexandria).

Summary:
Magnetic moment = 0.000 μB per atom

Cell lengths 5.9544, 5.9544, 8.6667 Å; angles 90.00, 90.00, 90.00 degrees
Last column: nearest neighbours and their distance in Å.
Space group I4/mmm (No. 139)
Symmetry-distinct sites (fractional):
La (0.0000, 0.5000, 0.2500) (multiplicity 4)  4 Ag 3.10
Ag (0.0000, 0.0000, 0.1486) (multiplicity 4)  1 Ag 2.58
Bi (0.0000, 0.0000, 0.5000) (multiplicity 2)  2 Ag 3.05

***

Least stable = *two*

***

*one*
# La2Ag2Bi

La2Ag2Bi after structural relaxation (PBE-GGA, Alexandria).

Summary:
Magnetic moment = 0.188 μB per atom

Cell lengths 4.0386, 4.0386, 17.8669 Å; angles 90.00, 90.00, 90.00 degrees
Last column: nearest neighbours and their distance in Å.
Space group I4/mmm (No. 139)
Symmetry-distinct sites (fractional):
La (0.0000, 0.0000, 0.1064) (multiplicity 4)  4 Ag 3.27, 4 Bi 3.43
Ag (0.0000, 0.5000, 0.2500) (multiplicity 4)  4 Ag 2.86
Bi (0.0000, 0.0000, 0.5000) (multiplicity 2)  8 La 3.43

***

*two*
# La2Ag2Bi

La2Ag2Bi after structural relaxation (PBE-GGA, Alexandria).

Summary:
Magnetic moment = 0.000 μB per atom

Cell lengths 8.8694, 8.8694, 3.8449 Å; angles 90.00, 90.00, 90.00 degrees
Last column: nearest neighbours and their distance in Å.
Space group P4/mbm (No. 127)
Symmetry-distinct sites (fractional):
La (0.1741, 0.3259, 0.0000) (multiplicity 4)  6 Ag 3.24-3.26, 2 Bi 3.28
Ag (0.1179, 0.6179, 0.5000) (multiplicity 4)  1 Ag 2.96, 6 La 3.24-3.26
Bi (0.0000, 0.0000, 0.0000) (multiplicity 2)  4 La 3.28

***

Least stable = *two*

***

*one*
# LaAgBi3

LaAgBi3 after structural relaxation (PBE-GGA, Alexandria).

Summary:
Magnetic moment = 0.000 μB per atom

Cell lengths 6.1506, 6.1506, 6.1506 Å; angles 90.00, 90.00, 90.00 degrees
Last column: nearest neighbours and their distance in Å.
Space group Pm-3m (No. 221)
Symmetry-distinct sites (fractional):
La (0.0000, 0.0000, 0.0000) (multiplicity 1)  6 Bi 3.08
Ag (0.5000, 0.5000, 0.5000) (multiplicity 1)  12 Bi 4.35
Bi (0.0000, 0.0000, 0.5000) (multiplicity 3)  2 La 3.08

***

*two*
# LaAgBi3

LaAgBi3 after structural relaxation (PBE-GGA, Alexandria).

Summary:
Magnetic moment = 0.000 μB per atom

Cell lengths 5.5238, 5.5238, 5.5238 Å; angles 90.00, 90.00, 90.00 degrees
Last column: nearest neighbours and their distance in Å.
Space group Pm-3m (No. 221)
Symmetry-distinct sites (fractional):
La (0.0000, 0.0000, 0.0000) (multiplicity 1)  12 Bi 3.91
Ag (0.5000, 0.5000, 0.5000) (multiplicity 1)  6 Bi 2.76
Bi (0.0000, 0.5000, 0.5000) (multiplicity 3)  2 Ag 2.76

***

Least stable = *one*

***

*one*
# Li2Ag2Bi

Li2Ag2Bi after structural relaxation (PBE-GGA, Alexandria).

Summary:
Magnetic moment = 0.000 μB per atom

Cell lengths 7.6445, 7.6445, 3.3937 Å; angles 90.00, 90.00, 90.00 degrees
Last column: nearest neighbours and their distance in Å.
Space group P4/mbm (No. 127)
Symmetry-distinct sites (fractional):
Li (0.1658, 0.3342, 0.0000) (multiplicity 4)  6 Ag 2.80-2.83
Ag (0.1283, 0.6283, 0.5000) (multiplicity 4)  1 Ag 2.77, 6 Li 2.80-2.83, 2 Bi 3.01
Bi (0.0000, 0.0000, 0.5000) (multiplicity 2)  4 Ag 3.01, 8 Li 3.32

***

*two*
# Li2Ag2Bi

Li2Ag2Bi after structural relaxation (PBE-GGA, Alexandria).

Summary:
Magnetic moment = 0.000 μB per atom

Cell lengths 3.9604, 3.9604, 12.6097 Å; angles 90.00, 90.00, 90.00 degrees
Last column: nearest neighbours and their distance in Å.
Space group I4/mmm (No. 139)
Symmetry-distinct sites (fractional):
Li (0.0000, 0.0000, 0.1026) (multiplicity 4)  1 Li 2.59, 4 Ag 2.72
Ag (0.0000, 0.5000, 0.2500) (multiplicity 4)  4 Li 2.72, 4 Ag 2.80
Bi (0.0000, 0.0000, 0.5000) (multiplicity 2)  8 Li 3.08

***

Least stable = *two*

***

*one*
# Li2Ag2Bi

Li2Ag2Bi after structural relaxation (PBE-GGA, Alexandria).

Summary:
Magnetic moment = 0.000 μB per atom

Cell lengths 4.2446, 4.2446, 11.5482 Å; angles 90.00, 90.00, 90.00 degrees
Last column: nearest neighbours and their distance in Å.
Space group I4/mmm (No. 139)
Symmetry-distinct sites (fractional):
Li (0.0000, 0.5000, 0.2500) (multiplicity 4)  4 Ag 2.63
Ag (0.0000, 0.0000, 0.1156) (multiplicity 4)  4 Li 2.63, 1 Ag 2.67
Bi (0.0000, 0.0000, 0.5000) (multiplicity 2)  8 Ag 3.28, 8 Li 3.58

***

*two*
# Li2Ag2Bi

Li2Ag2Bi after structural relaxation (PBE-GGA, Alexandria).

Summary:
Magnetic moment = 0.000 μB per atom

Cell lengths 7.5122, 7.5122, 3.3943 Å; angles 90.00, 90.00, 90.00 degrees
Last column: nearest neighbours and their distance in Å.
Space group P4/mbm (No. 127)
Symmetry-distinct sites (fractional):
Li (0.1418, 0.3582, 0.0000) (multiplicity 4)  6 Ag 2.72-2.87, 2 Bi 2.89, 1 Li 3.01
Ag (0.1409, 0.6409, 0.5000) (multiplicity 4)  6 Li 2.72-2.87, 1 Ag 2.99
Bi (0.0000, 0.0000, 0.0000) (multiplicity 2)  4 Li 2.89

***

*three*
# Li2Ag2Bi

Li2Ag2Bi after structural relaxation (PBE-GGA, Alexandria).

Summary:
Magnetic moment = 0.000 μB per atom

Cell lengths 9.3240, 4.2516, 9.8019 Å; angles 90.00, 91.12, 90.00 degrees
Last column: nearest neighbours and their distance in Å.
Space group C2/m (No. 12)
Symmetry-distinct sites (fractional):
Li (0.0513, 0.0000, 0.1392) (multiplicity 4)  2 Li 2.87-3.15, 7 Ag 2.92-3.17, 3 Bi 2.98-3.05
Li (0.1450, 0.0000, 0.4493) (multiplicity 4)  5 Ag 2.88-3.05, 4 Li 2.90-3.15, 3 Bi 3.06-3.07
Ag (0.0431, 0.5000, 0.6397) (multiplicity 4)  1 Ag 2.84, 7 Li 2.88-3.17, 3 Bi 3.01
Ag (0.1424, 0.5000, 0.9521) (multiplicity 4)  3 Ag 2.83-3.06, 5 Li 2.92-3.01, 3 Bi 3.08-3.10
Bi (0.2434, 0.0000, 0.7486) (multiplicity 4)  6 Li 2.98-3.07, 6 Ag 3.01-3.10

***

Least stable = *one*

***

*one*
# Li3Ag4Bi

Li3Ag4Bi after structural relaxation (PBE-GGA, Alexandria).

Summary:
Magnetic moment = 0.000 μB per atom

Cell lengths 3.3204, 4.7184, 9.4869 Å; angles 97.03, 100.00, 90.02 degrees
Last column: nearest neighbours and their distance in Å.
Space group P-1 (No. 2)
Symmetry-distinct sites (fractional):
Li (0.0000, 0.0000, 0.0000) (multiplicity 1)  4 Ag 2.83, 4 Bi 2.88-2.89
Li (0.1345, 0.5861, 0.2674) (multiplicity 2)  7 Ag 2.81-2.92, 2 Bi 2.98-2.99
Ag (0.2469, 0.2468, 0.4947) (multiplicity 2)  3 Li 2.81, 7 Ag 2.87-3.00
Ag (0.3757, 0.9270, 0.7530) (multiplicity 2)  6 Li 2.83-2.92, 3 Ag 2.88-3.00
Bi (0.5000, 0.5000, 0.0000) (multiplicity 1)  8 Li 2.88-2.99

***

*two*
# Li3Ag4Bi

Li3Ag4Bi after structural relaxation (PBE-GGA, Alexandria).

Summary:
Magnetic moment = 0.000 μB per atom

Cell lengths 18.4876, 4.4672, 3.6230 Å; angles 90.00, 101.08, 90.00 degrees
Last column: nearest neighbours and their distance in Å.
Space group C2/m (No. 12)
Symmetry-distinct sites (fractional):
Li (0.0000, 0.0000, 0.0000) (multiplicity 2)  4 Bi 2.88, 4 Ag 3.03-3.05
Li (0.2495, 0.0000, 0.2495) (multiplicity 4)  6 Ag 2.71-3.00, 4 Li 2.88
Ag (0.1344, 0.0000, 0.6354) (multiplicity 4)  6 Li 2.76-3.07, 4 Ag 2.88
Ag (0.1391, 0.5000, 0.1396) (multiplicity 4)  4 Li 2.71-3.00, 4 Ag 2.88
Bi (0.0000, 0.5000, 0.5000) (multiplicity 2)  4 Li 2.88, 4 Ag 3.10-3.11

***

Least stable = *two*

***

*one*
# LiAgBi3

LiAgBi3 after structural relaxation (PBE-GGA, Alexandria).

Summary:
Magnetic moment = 0.000 μB per atom

Cell lengths 5.1806, 5.1806, 5.1806 Å; angles 90.00, 90.00, 90.00 degrees
Last column: nearest neighbours and their distance in Å.
Space group Pm-3m (No. 221)
Symmetry-distinct sites (fractional):
Li (0.0000, 0.0000, 0.0000) (multiplicity 1)  6 Bi 2.59
Ag (0.5000, 0.5000, 0.5000) (multiplicity 1)  12 Bi 3.66
Bi (0.0000, 0.0000, 0.5000) (multiplicity 3)  2 Li 2.59

***

*two*
# LiAgBi3

LiAgBi3 after structural relaxation (PBE-GGA, Alexandria).

Summary:
Magnetic moment = 0.000 μB per atom

Cell lengths 5.5792, 5.5792, 5.5792 Å; angles 90.00, 90.00, 90.00 degrees
Last column: nearest neighbours and their distance in Å.
Space group Pm-3m (No. 221)
Symmetry-distinct sites (fractional):
Li (0.0000, 0.0000, 0.0000) (multiplicity 1)  12 Bi 3.95
Ag (0.5000, 0.5000, 0.5000) (multiplicity 1)  6 Bi 2.79
Bi (0.0000, 0.5000, 0.5000) (multiplicity 3)  2 Ag 2.79

***

Least stable = *two*

***

*one*
# LiAg4Bi

LiAg4Bi after structural relaxation (PBE-GGA, Alexandria).

Summary:
Magnetic moment = 0.000 μB per atom

Cell lengths 7.9321, 7.9321, 7.9321 Å; angles 90.00, 90.00, 90.00 degrees
Last column: nearest neighbours and their distance in Å.
Space group F-43m (No. 216)
Symmetry-distinct sites (fractional):
Li (0.0000, 0.0000, 0.0000) (multiplicity 4)  12 Ag 3.29, 4 Bi 3.43
Ag (0.1256, 0.1256, 0.6256) (multiplicity 16)  6 Ag 2.79-2.82
Bi (0.2500, 0.2500, 0.2500) (multiplicity 4)  12 Ag 3.29, 4 Li 3.43

***

*two*
# LiAg4Bi

LiAg4Bi after structural relaxation (PBE-GGA, Alexandria).

Summary:
Magnetic moment = 0.000 μB per atom

Cell lengths 4.8161, 8.4641, 5.8821 Å; angles 90.00, 90.99, 90.00 degrees
Last column: nearest neighbours and their distance in Å.
Space group C2/m (No. 12)
Symmetry-distinct sites (fractional):
Li (0.0000, 0.0000, 0.0000) (multiplicity 2)  2 Bi 2.94, 12 Ag 3.08-3.16
Ag (0.0062, 0.3345, 0.7620) (multiplicity 8)  5 Ag 2.80-3.08, 1 Li 3.08
Bi (0.0000, 0.0000, 0.5000) (multiplicity 2)  2 Li 2.94, 12 Ag 3.18-3.22

***

Least stable = *two*

***

*one*
# LiAgBi2

LiAgBi2 after structural relaxation (PBE-GGA, Alexandria).

Summary:
Magnetic moment = 0.000 μB per atom

Cell lengths 4.7369, 4.7369, 19.2562 Å; angles 90.00, 90.00, 90.00 degrees
Last column: nearest neighbours and their distance in Å.
Space group I-42d (No. 122)
Symmetry-distinct sites (fractional):
Li (0.0000, 0.0000, 0.0000) (multiplicity 4)  4 Bi 2.90
Ag (0.0000, 0.0000, 0.5000) (multiplicity 4)  4 Bi 2.97
Bi (0.2330, 0.2500, 0.1250) (multiplicity 8)  2 Li 2.90, 2 Ag 2.97, 2 Bi 3.24

***

*two*
# LiAgBi2

LiAgBi2 after structural relaxation (PBE-GGA, Alexandria).

Summary:
Magnetic moment = 0.000 μB per atom

Cell lengths 7.3095, 7.3095, 7.3095 Å; angles 90.00, 90.00, 90.00 degrees
Last column: nearest neighbours and their distance in Å.
Space group Fm-3m (No. 225)
Symmetry-distinct sites (fractional):
Li (0.0000, 0.0000, 0.0000) (multiplicity 4)  8 Bi 3.17
Ag (0.0000, 0.0000, 0.5000) (multiplicity 4)  8 Bi 3.17
Bi (0.2500, 0.2500, 0.2500) (multiplicity 8)  4 Li 3.17, 4 Ag 3.17

***

Least stable = *one*

***

*one*
# LiAgBi2

LiAgBi2 after structural relaxation (PBE-GGA, Alexandria).

Summary:
Magnetic moment = 0.000 μB per atom

Cell lengths 4.5608, 4.5608, 5.4898 Å; angles 90.00, 90.00, 120.00 degrees
Last column: nearest neighbours and their distance in Å.
Space group P-3m1 (No. 164)
Symmetry-distinct sites (fractional):
Li (0.0000, 0.0000, 0.0000) (multiplicity 1)  2 Ag 2.74, 6 Bi 2.94
Ag (0.0000, 0.0000, 0.5000) (multiplicity 1)  2 Li 2.74, 6 Bi 3.00
Bi (0.3333, 0.6667, 0.7602) (multiplicity 2)  3 Li 2.94, 3 Ag 3.00

***

*two*
# LiAgBi2

LiAgBi2 after structural relaxation (PBE-GGA, Alexandria).

Summary:
Magnetic moment = 0.000 μB per atom

Cell lengths 3.7399, 3.7399, 6.9625 Å; angles 90.00, 90.00, 90.00 degrees
Last column: nearest neighbours and their distance in Å.
Space group P4/mmm (No. 123)
Symmetry-distinct sites (fractional):
Li (0.0000, 0.0000, 0.0000) (multiplicity 1)  8 Bi 3.15, 2 Ag 3.48
Ag (0.0000, 0.0000, 0.5000) (multiplicity 1)  8 Bi 3.18, 2 Li 3.48
Bi (0.5000, 0.5000, 0.2453) (multiplicity 2)  4 Li 3.15, 4 Ag 3.18, 1 Bi 3.42

***

Least stable = *one*

***

*one*
# LiAgBi2

LiAgBi2 after structural relaxation (PBE-GGA, Alexandria).

Summary:
Magnetic moment = 0.000 μB per atom

Cell lengths 4.7682, 4.7682, 4.3077 Å; angles 90.00, 90.00, 90.00 degrees
Last column: nearest neighbours and their distance in Å.
Space group P4/mmm (No. 123)
Symmetry-distinct sites (fractional):
Li (0.0000, 0.0000, 0.0000) (multiplicity 1)  8 Bi 3.21, 4 Ag 3.37
Ag (0.5000, 0.5000, 0.0000) (multiplicity 1)  8 Bi 3.21, 4 Li 3.37
Bi (0.0000, 0.5000, 0.5000) (multiplicity 2)  4 Li 3.21, 4 Ag 3.21, 4 Bi 3.37

***

*two*
# LiAgBi2

LiAgBi2 after structural relaxation (PBE-GGA, Alexandria).

Summary:
Magnetic moment = 0.000 μB per atom

Cell lengths 4.6729, 4.6729, 17.1926 Å; angles 90.00, 90.00, 120.00 degrees
Last column: nearest neighbours and their distance in Å.
Space group R3m (No. 160, hexagonal axes)
Symmetry-distinct sites (fractional):
Li (0.0000, 0.0000, 0.0000) (multiplicity 3)  1 Ag 2.94, 6 Bi 3.07-3.15
Ag (0.0000, 0.0000, 0.1709) (multiplicity 3)  1 Li 2.94, 6 Bi 3.00-3.01
Bi (0.0000, 0.0000, 0.5812) (multiplicity 3)  3 Ag 3.01, 3 Li 3.07, 1 Bi 3.09
Bi (0.0000, 0.0000, 0.7610) (multiplicity 3)  3 Ag 3.00, 1 Bi 3.09, 3 Li 3.15

***

Least stable = *two*